Below is an optimized crystal structure of ErGeB, with properties calculated at the PBE level.

- Energy above the most stable polymorph in this dataset: 0.200 eV/atom
- E_form: -0.27 eV per atom
- Crystal system: monoclinic

a = 3.925 Å, b = 3.925 Å, c = 8.505 Å
α = 114.30°, β = 114.30°, γ = 91.46°
Fractional coordinates of all 6 atoms:
Er1 0.065 0.065 0.715
Er2 0.935 0.935 0.285
B1 0.492 0.492 0.594
B2 0.508 0.508 0.406
Ge1 0.709 0.709 0.883
Ge2 0.291 0.291 0.117